{"formula": "HoErThIn", "functional": "GGA-PBE", "state": "relaxed", "dos_ef_per_ev_cell": 7.616, "formation_enthalpy_0k_mev_per_atom": -17, "total_energy_ev_per_cell": -19.4, "spacegroup": "F-43m, No. 216", "cell": [[0.000, 3.848, 3.848], [3.848, 0.000, 3.848], [3.848, 3.848, 0.000]], "species": ["Ho", "Er", "Th", "In"], "fractional_positions": [[0.000, 0.000, 0.000], [0.500, 0.500, 0.500], [0.250, 0.250, 0.250], [0.750, 0.750, 0.750]]}



{"formula": "Ce2HgI", "functional": "GGA-PBE", "state": "relaxed", "dos_ef_per_ev_cell": 12.756, "formation_energy_uncorrected_mev_per_atom": -488.5, "total_energy_ev_per_cell": -15.7, "spacegroup": "P4/mmm, No. 123", "cell": [[3.696, 0.000, 0.000], [0.000, 3.696, 0.000], [0.000, 0.000, 8.427]], "species": ["Ce", "Ce", "Hg", "I"], "fractional_positions": [[0.000, 0.000, 0.243], [0.000, 0.000, 0.757], [0.500, 0.500, 0.000], [0.500, 0.500, 0.500]]}



{"formula": "Ce2ErCo", "functional": "GGA-PBE", "state": "relaxed", "dos_ef_per_ev_cell": 8.892, "formation_enthalpy_0k_mev_per_atom": 8, "total_energy_ev_per_cell": -23.5, "spacegroup": "P4/mmm, No. 123", "cell": [[3.541, 0.000, 0.000], [0.000, 3.541, 0.000], [0.000, 0.000, 7.701]], "species": ["Ce", "Ce", "Er", "Co"], "fractional_positions": [[0.000, 0.000, 0.184], [0.000, 0.000, 0.816], [0.500, 0.500, 0.500], [0.500, 0.500, 0.000]]}



{"formula": "FeHg4Cl", "functional": "GGA-PBE", "state": "relaxed", "dos_ef_per_ev_cell": 6.278, "formation_energy_uncorrected_mev_per_atom": 465.2, "total_energy_ev_per_cell": -8.7, "spacegroup": "F-43m, No. 216", "cell": [[0.000, 4.240, 4.240], [4.240, 0.000, 4.240], [4.240, 4.240, 0.000]], "species": ["Fe", "Hg", "Hg", "Hg", "Hg", "Cl"], "fractional_positions": [[0.000, 0.000, 0.000], [0.124, 0.625, 0.625], [0.625, 0.124, 0.625], [0.625, 0.625, 0.124], [0.625, 0.625, 0.625], [0.250, 0.250, 0.250]]}



{"formula": "CuTc", "functional": "GGA-PBE", "state": "relaxed", "dos_ef_per_ev_cell": 16.561, "formation_enthalpy_0k_mev_per_atom": 2197, "total_energy_ev_per_cell": -60.4, "spacegroup": "Pm-3n, No. 223", "cell": [[6.620, 0.000, 0.000], [0.000, 6.620, 0.000], [0.000, 0.000, 6.620]], "species": ["Cu", "Cu", "Cu", "Cu", "Cu", "Cu", "Tc", "Tc", "Tc", "Tc", "Tc", "Tc"], "fractional_positions": [[0.000, 0.250, 0.500], [0.000, 0.750, 0.500], [0.250, 0.500, 0.000], [0.500, 0.000, 0.250], [0.500, 0.000, 0.750], [0.750, 0.500, 0.000], [0.000, 0.500, 0.250], [0.000, 0.500, 0.750], [0.250, 0.000, 0.500], [0.500, 0.250, 0.000], [0.500, 0.750, 0.000], [0.750, 0.000, 0.500]]}



{"formula": "Mg3ZnS", "functional": "GGA-PBE", "state": "relaxed", "dos_ef_per_ev_cell": 2.056, "formation_energy_uncorrected_mev_per_atom": -102.9, "total_energy_ev_per_cell": -10.7, "spacegroup": "Pm-3m, No. 221", "cell": [[4.836, 0.000, 0.000], [0.000, 4.836, 0.000], [0.000, 0.000, 4.836]], "species": ["Mg", "Mg", "Mg", "Zn", "S"], "fractional_positions": [[0.000, 0.000, 0.500], [0.000, 0.500, 0.000], [0.500, 0.000, 0.000], [0.500, 0.500, 0.500], [0.000, 0.000, 0.000]]}



Q: What is the formula in the fifth record?
A: CuTc